Entry from Alexandria: a crystal of Ce4Si3Rh4 relaxed with PBEsol (SCAN).

The structure in POSCAR format:
```
Ce4Si3Rh4
1.0
10.060 -2.782 0.000
10.060 2.782 0.000
-2.707 0.000 7.266
Ce Si Rh
8 6 8
Direct
0.079 0.796 0.834
0.204 0.921 0.666
0.213 0.446 0.100
0.446 0.213 0.600
0.554 0.787 0.400
0.787 0.554 0.900
0.796 0.079 0.334
0.921 0.204 0.166
0.059 0.281 0.554
0.281 0.059 0.054
0.345 0.655 0.250
0.655 0.345 0.750
0.719 0.941 0.946
0.941 0.719 0.446
0.068 0.373 0.313
0.309 0.561 0.479
0.373 0.068 0.813
0.439 0.691 0.021
0.561 0.309 0.979
0.627 0.932 0.187
0.691 0.439 0.521
0.932 0.627 0.687
```

Computed properties:
* DOS at the Fermi energy: 11.301 states/eV/f.u.
* crystal system: monoclinic
* spin magnetization: 2.5 μB/f.u.
* formation energy without anion corrections: -1.00 eV/atom
* calculated volume: 406.7 Å³/cell
* calculated density: 8.63 g cm⁻³